DFT (PBE) results for a relaxed Pr5Nd4Sm crystal.

Computed properties:
* crystal system: monoclinic
* magnetization: 0.00 μB/f.u.
* total DFT energy (no corrections): -4.6326 eV per atom

abc: 29.1092 3.5447 7.0170
angles: 90.00 97.19 90.00
Closest atoms and distances in Å follow each position.
Space group C2/m (No. 12)
One atom of each set of equivalent atoms:
1 Pr 0.0000 0.0000 0.0000 x2  2 Sm 3.51, 2 Pr 3.54, 6 Nd 3.56-3.68
2 Pr 0.2008 0.5000 0.0992 x4  8 Pr 3.50-3.78, 3 Nd 3.54-3.72
3 Pr 0.2055 0.5000 0.6038 x4  8 Pr 3.50-3.67, 3 Nd 3.68-3.77
4 Nd 0.0937 0.5000 0.7974 x4  4 Pr 3.54-3.68, 4 Nd 3.54-3.92, 2 Sm 3.68
5 Nd 0.1067 0.0000 0.3092 x4  1 Sm 3.53, 4 Nd 3.54-3.92, 5 Pr 3.56-3.77
6 Sm 0.0000 0.0000 0.5000 x2  2 Pr 3.51, 6 Nd 3.53-3.68, 2 Sm 3.54

***

DFT (PBE) results for a relaxed K2FeHgB crystal.

Computed properties:
* crystal system: tetragonal
* magnetization: 2.57 μB/f.u.
* total DFT energy (no corrections): -2.0513 eV per atom

abc: 6.3464 6.3464 5.0044
angles: 90.00 90.00 90.00
Closest atoms and distances in Å follow each position.
Space group P4/mmm (No. 123)
One atom of each set of equivalent atoms:
1 K 0.0000 0.5000 0.0000 x2  2 Hg 3.17
2 Fe 0.0000 0.0000 0.5000 x1  2 Hg 2.50
3 Hg 0.0000 0.0000 0.0000 x1  2 Fe 2.50
4 B 0.5000 0.5000 0.5000 x1  8 K 4.04, 4 Fe 4.49

***

DFT (PBE) results for a relaxed YBeRe2 crystal.

Computed properties:
* crystal system: orthorhombic
* magnetization: 0.00 μB/f.u.
* total DFT energy (no corrections): -8.4677 eV per atom

abc: 2.6588 4.7579 10.0167
angles: 90.00 90.00 90.00
Closest atoms and distances in Å follow each position.
Space group Immm (No. 71)
One atom of each set of equivalent atoms:
1 Y 0.0000 0.0000 0.0000 x2  2 Y 2.66, 4 Be 2.73
2 Be 0.0000 0.0000 0.5000 x2  4 Re 2.46, 2 Be 2.66, 4 Y 2.73
3 Re 0.0000 0.5000 0.2062 x4  2 Be 2.46, 2 Re 2.66

***

DFT (PBE) results for a relaxed K2AlRh crystal.

Computed properties:
* crystal system: trigonal
* magnetization: 0.64 μB/f.u.
* total DFT energy (no corrections): -2.5994 eV per atom

abc: 3.1271 3.1271 34.3639
angles: 90.00 90.00 120.00
Closest atoms and distances in Å follow each position.
Space group R-3m (No. 166, hexagonal axes)
One atom of each set of equivalent atoms:
1 K 0.0000 0.0000 0.2421 x6  6 K 3.13, 3 Rh 3.16
2 Al 0.0000 0.0000 0.0000 x3  6 Al 3.13
3 Rh 0.0000 0.0000 0.5000 x3  6 Rh 3.13, 6 K 3.16

***

DFT (PBE) results for a relaxed LiAc3Ge2 crystal.

Computed properties:
* crystal system: orthorhombic
* magnetization: 0.28 μB/f.u.
* total DFT energy (no corrections): -4.4673 eV per atom

abc: 12.5774 4.6149 12.6516
angles: 90.00 90.00 90.00
Closest atoms and distances in Å follow each position.
Space group Pnma (No. 62)
One atom of each set of equivalent atoms:
1 Li 0.1299 0.2500 0.1280 x4  3 Ge 2.71-2.76
2 Ac 0.0545 0.2500 0.3745 x4  1 Li 3.26, 5 Ge 3.31-3.43
3 Ac 0.1282 0.7500 0.9347 x4  5 Ge 3.30-3.38, 3 Li 3.34-3.36
4 Ac 0.2031 0.2500 0.6984 x4  2 Li 3.24, 4 Ge 3.30-3.41
5 Ge 0.0266 0.7500 0.1753 x4  2 Li 2.71
6 Ge 0.1885 0.7500 0.5061 x4  1 Li 2.76

***

DFT (PBE) results for a relaxed BeSeN2O crystal.

Computed properties:
* crystal system: tetragonal
* magnetization: 0.00 μB/f.u.
* uncorrected formation energy: 1.431 eV per atom

abc: 3.7407 3.7407 3.6785
angles: 90.00 90.00 90.00
Closest atoms and distances in Å follow each position.
Space group P4/mmm (No. 123)
One atom of each set of equivalent atoms:
1 Be 0.0000 0.0000 0.0000 x1  8 N 2.62, 4 O 2.65
2 Se 0.5000 0.5000 0.5000 x1  2 O 1.84, 4 N 1.87
3 N 0.0000 0.5000 0.5000 x2  2 Se 1.87
4 O 0.5000 0.5000 0.0000 x1  2 Se 1.84

***

DFT (PBE) results for a relaxed YPdPb crystal.

Computed properties:
* crystal system: orthorhombic
* magnetization: 0.00 μB/f.u.
* total DFT energy (no corrections): -5.8178 eV per atom

abc: 13.9891 3.8439 7.9009
angles: 90.00 90.00 90.00
Closest atoms and distances in Å follow each position.
Space group Pmma (No. 51)
One atom of each set of equivalent atoms:
1 Y 0.0538 0.0000 0.2164 x4  5 Pd 3.01-3.21
2 Y 0.2500 0.0000 0.8249 x2  5 Pd 3.04-3.15, 2 Pb 3.28
3 Pd 0.0913 0.5000 0.9238 x4  1 Pd 2.82, 2 Pb 2.90, 6 Y 3.01-3.05
4 Pd 0.2500 0.0000 0.4266 x2  6 Pb 2.85-2.89, 1 Y 3.15
5 Pb 0.1147 0.5000 0.5596 x4  3 Pd 2.89-2.90
6 Pb 0.2500 0.5000 0.1607 x2  4 Pd 2.85-2.90

***

DFT (PBE) results for a relaxed Sr2HgS crystal.

Computed properties:
* crystal system: tetragonal
* magnetization: 0.00 μB/f.u.
* uncorrected formation energy: -1.014 eV per atom

abc: 8.2193 8.2193 8.4362
angles: 90.00 90.00 90.00
Closest atoms and distances in Å follow each position.
Space group I-42d (No. 122)
One atom of each set of equivalent atoms:
1 Sr 0.2075 0.2500 0.1250 x8  2 S 2.87
2 Hg 0.0000 0.0000 0.5000 x4  4 Sr 3.33
3 S 0.0000 0.0000 0.0000 x4  4 Sr 2.87

***

DFT (PBE) results for a relaxed HgIrW2 crystal.

Computed properties:
* crystal system: monoclinic
* magnetization: 0.00 μB/f.u.
* total DFT energy (no corrections): -8.2936 eV per atom

abc: 9.6845 2.9513 4.7817
angles: 90.00 101.65 90.00
Closest atoms and distances in Å follow each position.
Space group C2/m (No. 12)
One atom of each set of equivalent atoms:
1 Hg 0.0000 0.0000 0.0000 x2  4 Ir 2.81, 6 W 2.89-2.98, 2 Hg 2.95
2 Ir 0.0000 0.5000 0.5000 x2  6 W 2.78-2.93, 4 Hg 2.81, 2 Ir 2.95
3 W 0.2401 0.0000 0.7255 x4  4 W 2.65-2.95, 3 Ir 2.78-2.93, 1 Hg 2.89

***

DFT (PBE) results for a relaxed RbCeN crystal.

Computed properties:
* crystal system: monoclinic
* magnetization: 0.64 μB/f.u.
* uncorrected formation energy: -0.773 eV per atom

abc: 27.8341 4.2351 4.2501
angles: 90.00 90.04 90.00
Closest atoms and distances in Å follow each position.
Space group C2/m (No. 12)
One atom of each set of equivalent atoms:
1 Rb 0.0788 0.0000 0.2489 x4  4 Rb 4.24-4.25
2 Ce 0.2161 0.5000 0.7498 x4  4 N 2.32
3 N 0.2502 0.0000 0.7500 x4  4 Ce 2.32

***

DFT (PBE) results for a relaxed Cd8HgRh2 crystal.

Computed properties:
* crystal system: orthorhombic
* magnetization: 0.00 μB/f.u.
* total DFT energy (no corrections): -2.0690 eV per atom

abc: 8.6856 11.3464 4.6195
angles: 90.00 90.00 90.00
Closest atoms and distances in Å follow each position.
Space group Cmmm (No. 65)
One atom of each set of equivalent atoms:
1 Cd 0.0000 0.2420 0.0000 x4  2 Rh 2.71, 1 Hg 2.93
2 Cd 0.1633 0.0000 0.0000 x4  7 Cd 2.84-3.12, 1 Hg 2.92, 4 Rh 3.02
3 Cd 0.1754 0.3620 0.5000 x8  2 Rh 2.83-3.16, 7 Cd 2.85-3.13
4 Hg 0.0000 0.5000 0.0000 x2  12 Cd 2.92-3.18
5 Rh 0.0000 0.1176 0.5000 x4  1 Rh 2.67, 4 Cd 2.71-2.83

***

DFT (PBE) results for a relaxed NaDyS2 crystal.

Computed properties:
* crystal system: trigonal
* magnetization: 0.00 μB/f.u.
* uncorrected formation energy: -1.809 eV per atom

abc: 3.9541 3.9541 20.8239
angles: 90.00 90.00 120.00
Closest atoms and distances in Å follow each position.
Space group R3m (No. 160, hexagonal axes)
One atom of each set of equivalent atoms:
1 Na 0.0000 0.0000 0.0000 x3  6 S 2.93-3.05
2 Dy 0.0000 0.0000 0.1712 x3  6 S 2.75
3 S 0.0000 0.0000 0.5784 x3  3 Dy 2.75, 3 Na 2.93
4 S 0.0000 0.0000 0.7641 x3  3 Dy 2.75, 3 Na 3.05

***

Question: What is the magnetization in the sixth record?
Answer: 0.00 μB/f.u.